The following is a PBE-GGA calculation of a relaxed structure of MgZrTa3, from the Alexandria database.

Properties
E_form, eV/atom: 1.647
Final energy, eV/atom: -7.4935
ΔE to the lowest computed polymorph, kJ/mol of formula units: 0

The structure in POSCAR format:
```
MgZrTa3
1.0
4.776 0.000 0.000
0.000 4.776 0.000
0.000 0.000 4.776
Mg Zr Ta
1 1 3
Direct
0.000 0.000 0.000
0.500 0.500 0.500
0.000 0.000 0.500
0.000 0.500 0.000
0.500 0.000 0.000
```